No. 1
# K3Pm2NdTe6

K3Pm2NdTe6 after structural relaxation (PBE, the Alexandria database).

Raw formation energy   -1.417 eV per atom
Space-group type   No. 12
Magnetic moment   0.000 μB per atom

Lattice parameters (Å, degrees): 7.9697 7.9697 8.6769 98.81 98.81 120.00
Closest atoms and distances in Å follow each position.
Positions (direct):
1 Te 0.5938 0.9287 0.7862  2 Pm 3.18-3.19, 1 Nd 3.20, 3 K 3.55-3.56
2 Te 0.4062 0.0713 0.2138  2 Pm 3.18-3.19, 1 Nd 3.20, 3 K 3.55-3.56
3 Te 0.2636 0.2636 0.7862  2 Pm 3.19, 1 Nd 3.20, 3 K 3.55-3.56
4 Te 0.0713 0.4062 0.2138  2 Pm 3.18-3.19, 1 Nd 3.20, 3 K 3.55-3.56
5 Te 0.9287 0.5938 0.7862  2 Pm 3.18-3.19, 1 Nd 3.20, 3 K 3.55-3.56
6 Te 0.7364 0.7364 0.2138  2 Pm 3.19, 1 Nd 3.20, 3 K 3.55-3.56
7 K 0.5000 0.5000 0.5000  6 Te 3.55-3.56
8 K 0.8336 0.1664 0.5000  6 Te 3.55-3.56
9 K 0.1664 0.8336 0.5000  6 Te 3.55-3.56
10 Pm 0.3333 0.6667 0.0000  6 Te 3.18-3.19
11 Pm 0.6667 0.3333 0.0000  6 Te 3.18-3.19
12 Nd 0.0000 0.0000 0.0000  6 Te 3.20

---

No. 2
# Li3Ni

Li3Ni after structural relaxation (PBE, the Alexandria database).

Energy relative to the elements   0.057 eV per atom
Space-group type   No. 123
Magnetic moment   0.000 μB per atom

Lattice parameters (Å, degrees): 2.6523 2.6523 8.3021 90.00 90.00 90.00
Closest atoms and distances in Å follow each position.
Positions (direct):
1 Li 0.0000 0.0000 0.9581  4 Ni 2.55, 4 Li 2.65
2 Li 0.0000 0.0000 0.5419  4 Ni 2.55, 4 Li 2.65
3 Li 0.5000 0.5000 0.2500  4 Li 2.65
4 Ni 0.5000 0.5000 0.7500  8 Li 2.55, 4 Ni 2.65

---

No. 3
# Ce4Hg2Rh

Ce4Hg2Rh after structural relaxation (PBE, the Alexandria database).

Energy relative to the elements   -0.185 eV per atom
Space-group type   No. 10
Magnetic moment   0.496 μB per atom

Lattice parameters (Å, degrees): 3.6573 8.4227 6.6423 102.47 90.00 90.00
Closest atoms and distances in Å follow each position.
Positions (direct):
1 Ce 0.0000 0.4269 0.1535  1 Ce 2.87, 1 Rh 2.93
2 Ce 0.5000 0.0607 0.7746  2 Rh 2.68, 1 Ce 2.74
3 Ce 0.5000 0.0821 0.3683  2 Rh 2.68, 1 Ce 2.74
4 Ce 0.0000 0.7159 0.9894  1 Ce 2.87, 1 Rh 2.93
5 Rh 0.0000 0.0714 0.0714  6 Ce 2.68-2.93
6 Hg 0.5000 0.4322 0.6945  1 Hg 3.13, 4 Ce 3.26-3.30
7 Hg 0.5000 0.7106 0.4484  1 Hg 3.13, 4 Ce 3.26-3.30

---

No. 4
# ZnHgRu2

ZnHgRu2 after structural relaxation (PBE, the Alexandria database).

Energy relative to the elements   0.458 eV per atom
Space-group type   No. 47
Magnetic moment   0.332 μB per atom

Lattice parameters (Å, degrees): 2.9098 4.6994 4.6523 90.00 90.00 90.00
Closest atoms and distances in Å follow each position.
Positions (direct):
1 Ru 0.5000 0.5000 0.0000  4 Hg 2.74, 6 Ru 2.76-2.91
2 Ru 0.0000 0.0000 0.0000  4 Zn 2.74, 6 Ru 2.76-2.91
3 Zn 0.5000 0.0000 0.5000  4 Ru 2.74, 4 Hg 2.76, 2 Zn 2.91
4 Hg 0.0000 0.5000 0.5000  4 Ru 2.74, 4 Zn 2.76, 2 Hg 2.91

---

No. 5
# YHo3Cd2

YHo3Cd2 after structural relaxation (PBE, the Alexandria database).

Energy relative to the elements   -0.220 eV per atom
Space-group type   No. 26
Magnetic moment   0.000 μB per atom

Lattice parameters (Å, degrees): 5.1945 6.9029 9.3745 90.00 90.00 90.00
Closest atoms and distances in Å follow each position.
Positions (direct):
1 Ho 0.0000 0.3227 0.3202  4 Cd 3.09-3.13
2 Ho 0.0000 0.4804 0.9537  3 Cd 3.20-3.25, 5 Ho 3.49-3.56
3 Ho 0.0000 0.8227 0.6798  4 Cd 3.09-3.13
4 Ho 0.5000 0.6777 0.1768  4 Cd 3.07-3.14
5 Ho 0.0000 0.9804 0.0463  3 Cd 3.20-3.25, 5 Ho 3.49-3.56
6 Ho 0.5000 0.1777 0.8232  4 Cd 3.07-3.14
7 Cd 0.0000 0.7731 0.3517  5 Ho 3.09-3.20, 2 Y 3.25
8 Cd 0.0000 0.2731 0.6483  5 Ho 3.09-3.20, 2 Y 3.25
9 Cd 0.5000 0.7267 0.8515  6 Ho 3.07-3.25, 1 Y 3.20
10 Cd 0.5000 0.2267 0.1485  6 Ho 3.07-3.25, 1 Y 3.20
11 Y 0.5000 0.5195 0.5456  3 Cd 3.20-3.25, 3 Ho 3.51-3.56, 2 Y 3.56
12 Y 0.5000 0.0195 0.4544  3 Cd 3.20-3.25, 3 Ho 3.51-3.56, 2 Y 3.56

---

No. 6
# Ga4Co2NiIr

Ga4Co2NiIr after structural relaxation (PBE, the Alexandria database).

Energy relative to the elements   -0.313 eV per atom
Space-group type   No. 166
Magnetic moment   0.166 μB per atom

Lattice parameters (Å, degrees): 4.1711 4.1711 7.2176 73.20 73.20 60.00
Closest atoms and distances in Å follow each position.
Positions (direct):
1 Ir 0.0000 0.0000 0.0000  8 Ga 2.58-2.61
2 Co 0.2497 0.2497 0.2510  8 Ga 2.49-2.62
3 Co 0.7503 0.7503 0.7490  8 Ga 2.49-2.62
4 Ga 0.8723 0.8723 0.3831  4 Co 2.49-2.57, 3 Ni 2.54, 1 Ir 2.61
5 Ga 0.3781 0.3781 0.8658  1 Ni 2.49, 4 Co 2.54-2.62, 3 Ir 2.58
6 Ga 0.1277 0.1277 0.6169  4 Co 2.49-2.57, 3 Ni 2.54, 1 Ir 2.61
7 Ga 0.6219 0.6219 0.1342  1 Ni 2.49, 4 Co 2.54-2.62, 3 Ir 2.58
8 Ni 0.5000 0.5000 0.5000  8 Ga 2.49-2.54

---

No. 7
# SrMg2Si

SrMg2Si after structural relaxation (PBE, the Alexandria database).

Raw formation energy   -0.100 eV per atom
Space-group type   No. 6
Magnetic moment   0.000 μB per atom

Lattice parameters (Å, degrees): 4.3779 4.2960 6.5086 69.53 90.00 90.00
Closest atoms and distances in Å follow each position.
Positions (direct):
1 Sr 0.5000 0.7282 0.6536  4 Si 3.28, 3 Mg 3.41-3.45
2 Mg 0.0000 0.9848 0.1657  2 Si 2.80-2.81, 4 Mg 3.08
3 Mg 0.5000 0.4566 0.2193  2 Si 2.64
4 Si 0.0000 0.3304 0.4614  4 Mg 2.64-2.81

---

No. 8
# K4Pm3RhO8

K4Pm3RhO8 after structural relaxation (PBE, the Alexandria database).

Raw formation energy   -2.162 eV per atom
Space-group type   No. 166
Magnetic moment   0.000 μB per atom

Lattice parameters (Å, degrees): 6.9904 7.4485 6.9902 117.98 120.00 90.00
Closest atoms and distances in Å follow each position.
Positions (direct):
1 Pm 0.0000 0.5000 0.5000  6 O 2.35-2.39
2 Pm 0.5000 0.5000 0.0000  6 O 2.35-2.39
3 Pm 0.5000 0.5000 0.5000  6 O 2.35-2.39
4 O 0.2212 0.6895 0.9683  1 Rh 2.25, 2 Pm 2.39
5 O 0.7788 0.3105 0.0317  1 Rh 2.25, 2 Pm 2.39
6 O 0.2528 0.3105 0.0317  1 Rh 2.25, 2 Pm 2.39
7 O 0.7308 0.6926 0.4617  3 Pm 2.35
8 O 0.7472 0.6895 0.9683  1 Rh 2.25, 2 Pm 2.39
9 O 0.7789 0.3105 0.5577  1 Rh 2.25, 2 Pm 2.39
10 O 0.2692 0.3074 0.5383  3 Pm 2.35
11 O 0.2211 0.6895 0.4423  1 Rh 2.25, 2 Pm 2.39
12 K 0.0000 0.0000 0.5000  6 O 2.77-2.79
13 K 0.0000 0.0000 0.0000  6 O 2.77-2.79
14 K 0.5000 0.0000 0.5000  6 O 2.77-2.79
15 K 0.5000 0.0000 0.0000  6 O 2.88
16 Rh 0.0000 0.5000 0.0000  6 O 2.25

---

No. 9
# MgTc2Ag

MgTc2Ag after structural relaxation (PBE, the Alexandria database).

Energy relative to the elements   0.374 eV per atom
Space-group type   No. 47
Magnetic moment   0.000 μB per atom

Lattice parameters (Å, degrees): 2.7431 4.5314 5.2067 90.00 90.00 90.00
Closest atoms and distances in Å follow each position.
Positions (direct):
1 Ag 0.5000 0.5000 0.2500  2 Mg 2.60, 2 Ag 2.74
2 Mg 0.5000 0.5000 0.7500  2 Ag 2.60, 2 Mg 2.74, 8 Tc 2.90
3 Tc 0.0000 0.0000 0.9749  1 Tc 2.34
4 Tc 0.0000 0.0000 0.5251  1 Tc 2.34

---

No. 10
# Sm4Ho4Sc3

Sm4Ho4Sc3 after structural relaxation (PBE, the Alexandria database).

Energy relative to the elements   0.179 eV per atom
Space-group type   No. 38
Magnetic moment   0.000 μB per atom

Lattice parameters (Å, degrees): 5.5202 6.4734 10.4152 90.00 90.00 115.24
Closest atoms and distances in Å follow each position.
Positions (direct):
1 Ho 0.5999 0.1998 0.5000  2 Sc 3.20, 1 Sm 3.28, 4 Ho 3.46
2 Ho 0.1017 0.2034 0.7008  4 Sm 3.34-3.51, 2 Ho 3.46, 4 Sc 3.56-3.62
3 Ho 0.1017 0.2034 0.2992  4 Sm 3.34-3.51, 2 Ho 3.46, 4 Sc 3.56-3.62
4 Ho 0.5517 0.1034 0.0000  4 Sm 2.95-3.23
5 Sc 0.4104 0.8207 0.7212  4 Ho 3.20-3.56, 2 Sm 3.37, 1 Sc 3.40
6 Sc 0.4104 0.8207 0.2788  4 Ho 3.20-3.56, 2 Sm 3.37, 1 Sc 3.40
7 Sc 0.2593 0.5186 0.0000  2 Sc 3.40, 5 Ho 3.42-3.68, 7 Sm 3.47-3.65
8 Sm 0.7604 0.5208 0.7969  2 Sm 3.18-3.39, 3 Ho 3.23-3.47, 4 Sc 3.37-3.48
9 Sm 0.9630 0.9259 0.0000  2 Ho 2.95, 2 Sm 3.18
10 Sm 0.7604 0.5208 0.2031  2 Sm 3.18-3.39, 3 Ho 3.23-3.47, 4 Sc 3.37-3.48
11 Sm 0.8797 0.7593 0.5000  3 Ho 3.28-3.34, 2 Sm 3.39, 4 Sc 3.61

---

No. 11
# CaCuBi

CaCuBi after structural relaxation (PBE, the Alexandria database).

Energy relative to the elements   -0.458 eV per atom
Space-group type   No. 11
Magnetic moment   0.000 μB per atom

Lattice parameters (Å, degrees): 4.6196 4.6174 7.0287 90.00 90.01 90.00
Closest atoms and distances in Å follow each position.
Positions (direct):
1 Bi 0.1736 0.3230 0.7316  4 Cu 2.84-2.85
2 Bi 0.6720 0.8229 0.2597  4 Cu 2.84
3 Ca 0.1726 0.3230 0.2049  4 Cu 3.08-3.09, 5 Bi 3.29-3.33
4 Ca 0.6729 0.8230 0.7864  4 Cu 3.08-3.09, 5 Bi 3.29-3.33
5 Cu 0.6745 0.3227 0.4955  4 Bi 2.84-2.85, 4 Ca 3.08-3.09
6 Cu 0.1721 0.8230 0.4955  4 Bi 2.84, 4 Ca 3.08-3.09

---

No. 12
# Hf3ZrIr

Hf3ZrIr after structural relaxation (PBE, the Alexandria database).

Energy relative to the elements   1.484 eV per atom
Space-group type   No. 221
Magnetic moment   0.000 μB per atom

Lattice parameters (Å, degrees): 4.9490 4.9490 4.9490 90.00 90.00 90.00
Closest atoms and distances in Å follow each position.
Positions (direct):
1 Hf 0.0000 0.0000 0.5000  2 Zr 2.47
2 Hf 0.5000 0.0000 0.0000  2 Zr 2.47
3 Hf 0.0000 0.5000 0.0000  2 Zr 2.47
4 Zr 0.0000 0.0000 0.0000  6 Hf 2.47
5 Ir 0.5000 0.5000 0.5000  12 Hf 3.50

---

| no. | energy (eV for the cell shown) |
| --- | --- |
| 1 | -53.42 |
| 2 | -11.30 |
| 3 | -32.99 |
| 4 | -18.30 |
| 5 | -46.69 |
| 6 | -43.46 |
| 7 | -10.69 |
| 8 | -100.25 |
| 9 | -23.68 |
| 10 | -54.22 |
| 11 | -22.71 |
| 12 | -39.85 |